1.
# Be9Nb2Cr (PBE-GGA, optimized geometry)
# DFT formation energy ... -135 kJ/mol of formula units
# Fermi-level density of states ... 8.8 states/eV/cell
# Energy above the lowest structure with this stoichiometry ... 5 meV per atom
data_Be9Nb2Cr
_chemical_formula_sum 'Be18 Nb4 Cr2'
_symmetry_space_group_name_H-M 'P 63/m m c'
_symmetry_Int_Tables_number 194
_symmetry_space_group_name_Hall '-P 6c 2c'
_cell_length_a 4.4883
_cell_length_b 4.4883
_cell_length_c 13.8992
_cell_angle_alpha 90.00
_cell_angle_beta 90.00
_cell_angle_gamma 120.00
loop_
_atom_site_label
_atom_site_type_symbol
_atom_site_fract_x
_atom_site_fract_y
_atom_site_fract_z
Be1 Be 0.0000 0.0000 0.0000
Be2 Be 0.0000 0.0000 0.2500
Be3 Be 0.1678 0.3357 0.1297
Be4 Be 0.3333 0.6667 0.2500
Nb1 Nb 0.3333 0.6667 0.5393
Cr1 Cr 0.3333 0.6667 0.7500

=====

2.
# Be2Nb2Cr (PBE-GGA, optimized geometry)
# DFT formation energy ... -49 kJ/mol of formula units
# Fermi-level density of states ... 8.0 states/eV/cell
data_Be2Nb2Cr
_chemical_formula_sum 'Be4 Nb4 Cr2'
_symmetry_space_group_name_H-M 'P 4/m b m'
_symmetry_Int_Tables_number 127
_symmetry_space_group_name_Hall '-P 4 2ab'
_cell_length_a 6.259
_cell_length_b 6.259
_cell_length_c 3.312
_cell_angle_alpha 90.00
_cell_angle_beta 90.00
_cell_angle_gamma 90.00
loop_
_atom_site_label
_atom_site_type_symbol
_atom_site_fract_x
_atom_site_fract_y
_atom_site_fract_z
Be1 Be 0.118 0.382 0.000
Nb1 Nb 0.181 0.681 0.500
Cr1 Cr 0.000 0.000 0.000

=====

3.
# Be2NbCr2 (PBE-GGA, optimized geometry)
# DFT formation energy ... 188 kJ/mol of formula units
# Fermi-level density of states ... 7.1 states/eV/cell
# Energy above the lowest structure with this stoichiometry ... 471 meV per atom
data_Be2NbCr2
_chemical_formula_sum 'Be4 Nb2 Cr4'
_symmetry_space_group_name_H-M 'I 4/m m m'
_symmetry_Int_Tables_number 139
_symmetry_space_group_name_Hall '-I 4 2'
_cell_length_a 3.789
_cell_length_b 3.789
_cell_length_c 8.579
_cell_angle_alpha 90.00
_cell_angle_beta 90.00
_cell_angle_gamma 90.00
loop_
_atom_site_label
_atom_site_type_symbol
_atom_site_fract_x
_atom_site_fract_y
_atom_site_fract_z
Be1 Be 0.000 0.500 0.250
Nb1 Nb 0.000 0.000 0.000
Cr1 Cr 0.000 0.000 0.386

=====

4.
# Be2NbCr2 (PBE-GGA, optimized geometry)
# DFT formation energy ... -39 kJ/mol of formula units
# Fermi-level density of states ... 3.1 states/eV/cell
# Energy above the lowest structure with this stoichiometry ... 0 meV per atom
data_Be2NbCr2
_chemical_formula_sum 'Be4 Nb2 Cr4'
_symmetry_space_group_name_H-M 'I 4/m m m'
_symmetry_Int_Tables_number 139
_symmetry_space_group_name_Hall '-I 4 2'
_cell_length_a 3.341
_cell_length_b 3.341
_cell_length_c 10.333
_cell_angle_alpha 90.00
_cell_angle_beta 90.00
_cell_angle_gamma 90.00
loop_
_atom_site_label
_atom_site_type_symbol
_atom_site_fract_x
_atom_site_fract_y
_atom_site_fract_z
Be1 Be 0.000 0.000 0.095
Nb1 Nb 0.000 0.000 0.500
Cr1 Cr 0.000 0.500 0.250